VASP calculation (PBE) on PdPt3 after structural relaxation.

Cell: 2.7983 4.8571 4.8571 Å, 109.64 90.00 90.00°
With the nearest neighbours (Å) after each atom.
Sites, in units of the cell vectors:
Pt1 0.5000 0.5000 0.0000  8 Pt 2.80, 4 Pd 2.80
Pt2 0.0000 0.5000 0.5000  10 Pt 2.80, 2 Pd 2.80
Pd1 0.0000 0.0000 0.0000  2 Pd 2.80, 10 Pt 2.80
Pt3 0.5000 0.0000 0.5000  8 Pt 2.80, 4 Pd 2.80

Calculated values
The mass density comes out at 18.47 g/cm³. The calculation puts the total moment at 0.00 μB/f.u. The density of states at the Fermi level is 2.2092 states/eV per atom. The calculated formation energy is -35 meV per atom.